(1)
VASP calculation (PBE) on crystalline MnBTe3 at its relaxed geometry.

Calculated values
M_tot	0.01	μB per atom
raw total energy	-18.9	eV per cell
uncorrected formation energy	1.273	eV/atom

a b c (Å): 4.7581 4.7581 4.7581
angles (deg): 90.00 90.00 90.00
With the nearest neighbours (Å) after each atom.
Fractional coordinates of all 5 atoms:
B (0.0000, 0.0000, 0.0000)  6 Te 2.38
Te (0.0000, 0.5000, 0.0000)  2 B 2.38
Te (0.0000, 0.0000, 0.5000)  2 B 2.38
Te (0.5000, 0.0000, 0.0000)  2 B 2.38
Mn (0.5000, 0.5000, 0.5000)  12 Te 3.36



(2)
VASP calculation (PBE) on crystalline Sr5Ca at its relaxed geometry.

Calculated values
M_tot	0.00	μB per atom
raw total energy	-9.0	eV per cell

a b c (Å): 7.7315 7.7315 6.8256
angles (deg): 90.00 90.00 120.00
With the nearest neighbours (Å) after each atom.
Fractional coordinates of all 6 atoms:
Sr (0.3333, 0.6667, 0.0000)  9 Sr 4.08-4.46, 3 Ca 4.46
Sr (0.6667, 0.3333, 0.0000)  9 Sr 4.08-4.46, 3 Ca 4.46
Sr (0.5000, 0.0000, 0.5000)  8 Sr 3.87-4.08
Sr (0.0000, 0.5000, 0.5000)  8 Sr 3.87-4.08
Sr (0.5000, 0.5000, 0.5000)  8 Sr 3.87-4.08
Ca (0.0000, 0.0000, 0.0000)  6 Sr 4.46



> M_tot of number 2 (Sr5Ca)?

0.00 μB per atom